Record 1
Density functional theory data (PBE-GGA) for crystalline Ce3SiCl2 at its relaxed geometry.

Values from the calculation:
SG: C2/c, No. 15

Cell and atoms, written as POSCAR:
```
Ce3SiCl2
1.0
3.4903 -6.1425 0.0000
3.4903 6.1425 0.0000
-2.4321 0.0000 6.7901
Ce Si Cl
6 2 4
Direct
0.0000 0.5000 0.5000
0.1686 0.3318 0.0025
0.3318 0.1686 0.5025
0.5000 0.0000 0.0000
0.6682 0.8314 0.4975
0.8314 0.6682 0.9975
0.0837 0.9163 0.7500
0.9163 0.0837 0.2500
0.2454 0.7546 0.2500
0.4156 0.5844 0.7500
0.5844 0.4156 0.2500
0.7546 0.2454 0.7500
```



Record 2
Density functional theory data (PBE-GGA) for crystalline Ce3Si2Cl2 at its relaxed geometry.

Values from the calculation:
SG: C2/m, No. 12

Cell and atoms, written as POSCAR:
```
Ce3Si2Cl2
1.0
6.9244 -2.0933 0.0000
6.9244 2.0933 0.0000
-1.9235 0.0000 7.3267
Ce Si Cl
3 2 2
Direct
0.0000 0.0000 0.0000
0.2315 0.2315 0.7618
0.7685 0.7685 0.2382
0.3787 0.3787 0.1061
0.6213 0.6213 0.8939
0.1470 0.1470 0.3578
0.8530 0.8530 0.6422
```



Record 3
Density functional theory data (PBE-GGA) for crystalline CeSiCl at its relaxed geometry.

Values from the calculation:
SG: Cmcm, No. 63

Cell and atoms, written as POSCAR:
```
CeSiCl
1.0
2.1975 -7.4376 0.0000
2.1975 7.4376 0.0000
0.0000 0.0000 4.1167
Ce Si Cl
2 2 2
Direct
0.1151 0.8849 0.7500
0.8849 0.1151 0.2500
0.4573 0.5427 0.7500
0.5427 0.4573 0.2500
0.2565 0.7435 0.2500
0.7435 0.2565 0.7500
```



Record 4
Density functional theory data (PBE-GGA) for crystalline Ce7SiCl12 at its relaxed geometry.

Values from the calculation:
SG: R-3, No. 148

Cell and atoms, written as POSCAR:
```
Ce7SiCl12
1.0
7.4296 4.2895 3.2058
-7.4296 4.2895 3.2058
0.0000 -8.5790 3.2058
Ce Si Cl
7 1 12
Direct
0.0000 0.0000 0.0000
0.1558 0.3688 0.4551
0.3688 0.4551 0.1558
0.4551 0.1558 0.3688
0.5449 0.8442 0.6312
0.6312 0.5449 0.8442
0.8442 0.6312 0.5449
0.5000 0.5000 0.5000
0.0211 0.3387 0.1120
0.1120 0.0211 0.3387
0.1939 0.7164 0.5778
0.2836 0.4222 0.8061
0.3387 0.1120 0.0211
0.4222 0.8061 0.2836
0.5778 0.1939 0.7164
0.6613 0.8880 0.9789
0.7164 0.5778 0.1939
0.8061 0.2836 0.4222
0.8880 0.9789 0.6613
0.9789 0.6613 0.8880
```



Record 5
Density functional theory data (PBE-GGA) for crystalline Ce4Si2Cl5 at its relaxed geometry.

Values from the calculation:
SG: C2/m, No. 12

Cell and atoms, written as POSCAR:
```
Ce4Si2Cl5
1.0
11.5047 -2.0631 0.0000
11.5047 2.0631 0.0000
-1.3407 0.0000 7.8264
Ce Si Cl
4 2 5
Direct
0.0080 0.0080 0.2724
0.3361 0.3361 0.5416
0.6639 0.6639 0.4584
0.9920 0.9920 0.7276
0.4497 0.4497 0.4597
0.5503 0.5503 0.5403
0.1301 0.1301 0.2138
0.2234 0.2234 0.6765
0.5000 0.5000 0.0000
0.7766 0.7766 0.3235
0.8699 0.8699 0.7862
```



Record 6
Density functional theory data (PBE-GGA) for crystalline Ce3SiCl2 at its relaxed geometry.

Values from the calculation:
SG: C2/m, No. 12

Cell and atoms, written as POSCAR:
```
Ce3SiCl2
1.0
3.5740 -6.2022 0.0000
3.5740 6.2022 0.0000
-2.3954 0.0000 6.5762
Ce Si Cl
6 2 4
Direct
0.0829 0.4181 0.7529
0.2491 0.2491 0.2512
0.4181 0.0829 0.7529
0.5819 0.9171 0.2471
0.7509 0.7509 0.7488
0.9171 0.5819 0.2471
0.1657 0.8343 0.0000
0.8343 0.1657 0.0000
0.0000 0.0000 0.5000
0.3288 0.6712 0.5000
0.5000 0.5000 0.0000
0.6712 0.3288 0.5000
```



Record 7
Density functional theory data (PBE-GGA) for crystalline Ce2SiCl3 at its relaxed geometry.

Values from the calculation:
SG: C2/m, No. 12

Cell and atoms, written as POSCAR:
```
Ce2SiCl3
1.0
9.3775 -2.1729 0.0000
9.3775 2.1729 0.0000
-7.4969 0.0000 9.6165
Ce Si Cl
4 2 6
Direct
0.1229 0.1229 0.4527
0.3725 0.3725 0.1809
0.6275 0.6275 0.8191
0.8771 0.8771 0.5473
0.0596 0.0596 0.6198
0.9404 0.9404 0.3802
0.1770 0.1770 0.0165
0.2539 0.2539 0.3847
0.4522 0.4522 0.7499
0.5478 0.5478 0.2501
0.7461 0.7461 0.6153
0.8230 0.8230 0.9835
```



Record 8
Density functional theory data (PBE-GGA) for crystalline CeSmCl2 at its relaxed geometry.

Values from the calculation:
SG: R-3m, No. 166

Cell and atoms, written as POSCAR:
```
CeSmCl2
1.0
1.7741 1.0243 9.8468
-1.7741 1.0243 9.8468
0.0000 -2.0485 9.8468
Ce Sm Cl
1 1 2
Direct
0.0000 0.0000 0.0000
0.5000 0.5000 0.5000
0.0983 0.0983 0.0983
0.9017 0.9017 0.9017
```



Record 9
Density functional theory data (PBE-GGA) for crystalline CeSmCl5 at its relaxed geometry.

Values from the calculation:
SG: P2_1/m, No. 11

Cell and atoms, written as POSCAR:
```
CeSmCl5
1.0
7.4476 0.0000 0.0000
0.0000 4.0199 0.0000
-0.1847 0.0000 12.8461
Ce Sm Cl
2 2 10
Direct
0.0613 0.2500 0.3369
0.9387 0.7500 0.6631
0.4254 0.7500 0.1558
0.5746 0.2500 0.8442
0.0519 0.7500 0.1741
0.1533 0.2500 0.5661
0.3173 0.2500 0.0140
0.3395 0.7500 0.7773
0.3410 0.7500 0.3674
0.6590 0.2500 0.6326
0.6605 0.2500 0.2227
0.6827 0.7500 0.9860
0.8467 0.7500 0.4339
0.9481 0.2500 0.8259
```



Record 10
Density functional theory data (PBE-GGA) for crystalline CeSmCl6 at its relaxed geometry.

Values from the calculation:
SG: C2/m, No. 12

Cell and atoms, written as POSCAR:
```
CeSmCl6
1.0
3.4499 -6.0893 0.0000
3.4499 6.0893 0.0000
-1.8076 0.0000 6.6502
Ce Sm Cl
1 1 6
Direct
0.0000 0.0000 0.0000
0.5000 0.5000 0.5000
0.1097 0.4036 0.2523
0.2487 0.2487 0.7438
0.4036 0.1097 0.2523
0.5964 0.8903 0.7477
0.7513 0.7513 0.2562
0.8903 0.5964 0.7477
```



Record 11
Density functional theory data (PBE-GGA) for crystalline CeSmCl6 at its relaxed geometry.

Values from the calculation:
SG: R-3, No. 148

Cell and atoms, written as POSCAR:
```
CeSmCl6
1.0
3.4647 2.0003 6.3495
-3.4647 2.0003 6.3495
0.0000 -4.0007 6.3495
Ce Sm Cl
1 1 6
Direct
0.0000 0.0000 0.0000
0.5000 0.5000 0.5000
0.1062 0.7470 0.3997
0.2530 0.6003 0.8938
0.3997 0.1062 0.7470
0.6003 0.8938 0.2530
0.7470 0.3997 0.1062
0.8938 0.2530 0.6003
```



Record 12
Density functional theory data (PBE-GGA) for crystalline CeSnCl2 at its relaxed geometry.

Values from the calculation:
SG: R-3m, No. 166

Cell and atoms, written as POSCAR:
```
CeSnCl2
1.0
1.8004 1.0395 10.3735
-1.8004 1.0395 10.3735
0.0000 -2.0789 10.3735
Ce Sn Cl
1 1 2
Direct
0.0000 0.0000 0.0000
0.5000 0.5000 0.5000
0.0852 0.0852 0.0852
0.9148 0.9148 0.9148
```



Record 13
Density functional theory data (PBE-GGA) for crystalline CeSn2Cl8 at its relaxed geometry.

Values from the calculation:
SG: C2/m, No. 12

Cell and atoms, written as POSCAR:
```
CeSn2Cl8
1.0
5.9430 -4.5507 0.0000
5.9430 4.5507 0.0000
-2.1557 0.0000 6.4329
Ce Sn Cl
1 2 8
Direct
0.0000 0.0000 0.0000
0.3324 0.3324 0.5333
0.6676 0.6676 0.4667
0.0453 0.6566 0.7455
0.1299 0.1299 0.7631
0.3434 0.9547 0.2545
0.4268 0.4268 0.2361
0.5732 0.5732 0.7639
0.6566 0.0453 0.7455
0.8701 0.8701 0.2369
0.9547 0.3434 0.2545
```



Record 14
Density functional theory data (PBE-GGA) for crystalline Ce2SnCl at its relaxed geometry.

Values from the calculation:
SG: P4/mmm, No. 123

Cell and atoms, written as POSCAR:
```
Ce2SnCl
1.0
3.5528 0.0000 0.0000
0.0000 3.5528 0.0000
0.0000 0.0000 8.1205
Ce Sn Cl
2 1 1
Direct
0.0000 0.0000 0.2400
0.0000 0.0000 0.7600
0.5000 0.5000 0.5000
0.5000 0.5000 0.0000
```



Record 15
Density functional theory data (PBE-GGA) for crystalline Ce2SnCl at its relaxed geometry.

Values from the calculation:
SG: R-3m, No. 166

Cell and atoms, written as POSCAR:
```
Ce2SnCl
1.0
2.2224 1.2831 6.5344
-2.2224 1.2831 6.5344
0.0000 -2.5663 6.5344
Ce Sn Cl
2 1 1
Direct
0.2414 0.2414 0.2414
0.7586 0.7586 0.7586
0.0000 0.0000 0.0000
0.5000 0.5000 0.5000
```



Record 16
Density functional theory data (PBE-GGA) for crystalline CeSnCl6 at its relaxed geometry.

Values from the calculation:
SG: R-3, No. 148

Cell and atoms, written as POSCAR:
```
CeSnCl6
1.0
3.4388 1.9854 6.2900
-3.4388 1.9854 6.2900
0.0000 -3.9708 6.2900
Ce Sn Cl
1 1 6
Direct
0.0000 0.0000 0.0000
0.5000 0.5000 0.5000
0.0894 0.7619 0.3921
0.2381 0.6079 0.9106
0.3921 0.0894 0.7619
0.6079 0.9106 0.2381
0.7619 0.3921 0.0894
0.9106 0.2381 0.6079
```



Record 17
Density functional theory data (PBE-GGA) for crystalline Ce2SnCl3 at its relaxed geometry.

Values from the calculation:
SG: C2/m, No. 12

Cell and atoms, written as POSCAR:
```
Ce2SnCl3
1.0
7.7859 -2.2200 0.0000
7.7859 2.2200 0.0000
-4.1095 0.0000 10.7726
Ce Sn Cl
4 2 6
Direct
0.0227 0.0227 0.2028
0.2630 0.2630 0.1538
0.7370 0.7370 0.8462
0.9773 0.9773 0.7972
0.4007 0.4007 0.9784
0.5993 0.5993 0.0216
0.1376 0.1376 0.7240
0.2077 0.2077 0.3478
0.4630 0.4630 0.6478
0.5370 0.5370 0.3522
0.7923 0.7923 0.6522
0.8624 0.8624 0.2760
```



Record 18
Density functional theory data (PBE-GGA) for crystalline CeSn2Cl8 at its relaxed geometry.

Values from the calculation:
SG: C2/m, No. 12

Cell and atoms, written as POSCAR:
```
CeSn2Cl8
1.0
6.5372 -4.3097 0.0000
6.5372 4.3097 0.0000
-2.4887 0.0000 7.7481
Ce Sn Cl
1 2 8
Direct
0.0000 0.0000 0.0000
0.1466 0.1466 0.6230
0.8534 0.8534 0.3770
0.1278 0.7188 0.1851
0.1820 0.1820 0.2426
0.2812 0.8722 0.8149
0.3332 0.3332 0.7868
0.6668 0.6668 0.2132
0.7188 0.1278 0.1851
0.8180 0.8180 0.7574
0.8722 0.2812 0.8149
```



Record 19
Density functional theory data (PBE-GGA) for crystalline Ce7SnCl12 at its relaxed geometry.

Values from the calculation:
SG: R-3, No. 148

Cell and atoms, written as POSCAR:
```
Ce7SnCl12
1.0
7.6485 4.4159 3.1009
-7.6485 4.4159 3.1009
0.0000 -8.8317 3.1009
Ce Sn Cl
7 1 12
Direct
0.0000 0.0000 0.0000
0.1275 0.4362 0.3479
0.3479 0.1275 0.4362
0.4362 0.3479 0.1275
0.5638 0.6521 0.8725
0.6521 0.8725 0.5638
0.8725 0.5638 0.6521
0.5000 0.5000 0.5000
0.0119 0.1038 0.3344
0.1038 0.3344 0.0119
0.2019 0.5751 0.7108
0.2892 0.7981 0.4249
0.3344 0.0119 0.1038
0.4249 0.2892 0.7981
0.5751 0.7108 0.2019
0.6656 0.9881 0.8962
0.7108 0.2019 0.5751
0.7981 0.4249 0.2892
0.8962 0.6656 0.9881
0.9881 0.8962 0.6656
```



Record 20
Density functional theory data (PBE-GGA) for crystalline CeSnCl5 at its relaxed geometry.

Values from the calculation:
SG: C2/c, No. 15

Cell and atoms, written as POSCAR:
```
CeSnCl5
1.0
5.3570 -5.0408 0.0000
5.3570 5.0408 0.0000
-4.7747 0.0000 9.6228
Ce Sn Cl
2 2 10
Direct
0.0000 0.5000 0.0000
0.5000 0.0000 0.5000
0.0899 0.9101 0.7500
0.9101 0.0899 0.2500
0.1806 0.6160 0.8460
0.2046 0.2416 0.5107
0.2363 0.7637 0.2500
0.2416 0.2046 0.0107
0.3840 0.8194 0.6540
0.6160 0.1806 0.3460
0.7584 0.7954 0.9893
0.7637 0.2363 0.7500
0.7954 0.7584 0.4893
0.8194 0.3840 0.1540
```



Record 21
Density functional theory data (PBE-GGA) for crystalline CeTlSn2Cl8 at its relaxed geometry.

Values from the calculation:
SG: P-1, No. 2

Cell and atoms, written as POSCAR:
```
CeTlSn2Cl8
1.0
6.5454 0.0000 0.0000
0.1839 6.9440 0.0000
0.3326 0.4706 9.1247
Ce Tl Sn Cl
1 1 2 8
Direct
0.0000 0.0000 0.0000
0.0000 0.0000 0.5000
0.4961 0.4888 0.7466
0.5039 0.5112 0.2534
0.2172 0.8150 0.7818
0.2537 0.3206 0.9633
0.2539 0.8557 0.2186
0.2824 0.3598 0.5452
0.7176 0.6402 0.4548
0.7461 0.1443 0.7814
0.7463 0.6794 0.0367
0.7828 0.1850 0.2182
```



Record 22
Density functional theory data (PBE-GGA) for crystalline SrCeCl6 at its relaxed geometry.

Values from the calculation:
SG: R-3, No. 148

Cell and atoms, written as POSCAR:
```
SrCeCl6
1.0
3.4734 2.0053 6.4231
-3.4734 2.0053 6.4231
0.0000 -4.0107 6.4231
Sr Ce Cl
1 1 6
Direct
0.0000 0.0000 0.0000
0.5000 0.5000 0.5000
0.1103 0.4210 0.7304
0.2696 0.8897 0.5790
0.4210 0.7304 0.1103
0.5790 0.2696 0.8897
0.7304 0.1103 0.4210
0.8897 0.5790 0.2696
```



For reference, calculated density by record: 5.92, 4.28, 5.03, 3.89, 3.55, 5.92, 3.51, 5.59, 4.04, 2.99, 3.16, 4.70, 3.16, 7.04, 6.45, 3.04, 4.51, 2.51, 4.03, 2.79, 3.47, 2.72 g/cm3.
For reference, formation energy (no corrections) by record: -7.4, -6.9, -3.7, -37.1, -16.0, -7.3, -9.1, -5.1, -15.2, -17.6, -17.7, -3.0, -15.5, -3.5, -4.0, -12.7, -9.6, -15.1, -36.1, -11.4, -16.8, -17.0 eV per formula unit.
For reference, E by record: -5.71, -5.61, -5.63, -5.31, -5.44, -5.71, -5.32, -4.86, -5.01, -4.92, -4.92, -4.16, -4.02, -5.31, -5.42, -4.21, -5.16, -3.98, -5.19, -4.37, -3.99, -4.47 eV per atom.